Material: SrSn2HI
Method: DFT, PBE
State: optimized geometry

Computed properties:
- Uncorrected energy: -2.551 eV/atom

Cell: 6.547 4.201 6.547 Å, 90.00 90.00 90.00°
Last column: magnetic moment on the atom in μB.
Element x y z (fractional)
1 Sn 0.500 0.000 0.000  0.16
2 Sn 0.000 0.000 0.500  0.23
3 I 0.500 0.500 0.500  0.03
4 H 0.000 0.500 0.000  -0.01
5 Sr 0.000 0.000 0.000  0.08